1.
Density functional theory data (GGA-PBE) for an optimized crystal structure of AlZn.

Structure (POSCAR):
```
AlZn
1.0
-1.987 1.987 4.042
1.987 -1.987 4.042
1.987 1.987 -4.042
Al Zn
2 2
direct
0.375 0.625 0.750 Al
0.625 0.375 0.250 Al
0.125 0.875 0.250 Zn
0.875 0.125 0.750 Zn
```

Properties
- Energy relative to the elements: 0.05 eV per formula unit
- Symmetry: No. 141



2.
Density functional theory data (GGA-PBE) for an optimized crystal structure of Pm3YPu2Te6.

Structure (POSCAR):
```
Pm3YPu2Te6
1.0
9.685 -2.209 0.000
9.685 2.209 0.000
-2.109 0.000 8.657
Pm Y Pu Te
3 1 2 6
direct
0.000 0.000 0.000 Pm
0.332 0.332 0.666 Pm
0.668 0.668 0.334 Pm
0.000 0.000 0.500 Y
0.334 0.334 0.167 Pu
0.666 0.666 0.833 Pu
0.164 0.164 0.585 Te
0.168 0.168 0.081 Te
0.500 0.500 0.255 Te
0.500 0.500 0.745 Te
0.832 0.832 0.919 Te
0.836 0.836 0.415 Te
```

Properties
- Symmetry: No. 12
- Total DFT energy (no corrections): -0.2569 hartree per atom



3.
Density functional theory data (GGA-PBE) for an optimized crystal structure of ReOs4Ru.

Structure (POSCAR):
```
ReOs4Ru
1.0
0.000 3.586 3.586
3.586 0.000 3.586
3.586 3.586 0.000
Re Os Ru
1 4 1
direct
0.000 0.000 0.000 Re
0.375 0.375 0.375 Os
0.375 0.375 0.874 Os
0.375 0.874 0.375 Os
0.874 0.375 0.375 Os
0.750 0.750 0.750 Ru
```

Properties
- Energy relative to the elements: 4.40 eV per formula unit
- Symmetry: No. 216
- Excess energy over the best structure of this formula in the dataset: 0.0271 eV per atom



| no. | Fermi-level density of states (states/eV per atom) |
| --- | --- |
| 1 | 0.28 |
| 2 | 1.99 |
| 3 | 1.65 |